1.
Computed, not measured: a relaxed structure of PmGaGe2 at the GGA-PBE level of DFT.

Structure (CIF):
```
data_PmGaGe2
_space_group_name_H-M_alt 'P 4/m m m'
_space_group_IT_number 123
_space_group_name_Hall '-P 4 2'
_cell_length_a 3.669
_cell_length_b 3.669
_cell_length_c 6.297
_cell_angle_alpha 90.00
_cell_angle_beta 90.00
_cell_angle_gamma 90.00
loop_
_atom_site_label
_atom_site_type_symbol
_atom_site_fract_x
_atom_site_fract_y
_atom_site_fract_z
Pm1 Pm 0.000 0.000 0.000
Ga1 Ga 0.000 0.000 0.500
Ge1 Ge 0.500 0.500 0.297
```

Computed properties:
Formation energy ... -345 meV per atom
Energy above the lowest structure with this stoichiometry ... 0.1240 eV/atom

2.
Computed, not measured: a relaxed structure of Li5MgTl at the GGA-PBE level of DFT.

Structure (CIF):
```
data_Li5MgTl
_space_group_name_H-M_alt 'C 1 2/c 1'
_space_group_IT_number 15
_cell_length_a 9.939
_cell_length_b 5.809
_cell_length_c 10.467
_cell_angle_alpha 90.00
_cell_angle_beta 112.19
_cell_angle_gamma 90.00
loop_
_space_group_symop_operation_xyz
'x,y,z'
'-x,-y,-z'
'-x,y,-z+1/2'
'x,-y,z+1/2'
'x+1/2,y+1/2,z'
'-x+1/2,-y+1/2,-z'
'-x+1/2,y+1/2,-z+1/2'
'x+1/2,-y+1/2,z+1/2'
loop_
_atom_site_label
_atom_site_type_symbol
_atom_site_fract_x
_atom_site_fract_y
_atom_site_fract_z
Li1 Li 0.000 0.070 0.250
Li2 Li 0.073 0.223 0.000
Li3 Li 0.226 0.134 0.753
Mg1 Mg 0.000 0.470 0.750
Tl1 Tl 0.250 0.250 0.500
```

Computed properties:
Formation energy ... -51 meV per atom
Energy above the lowest structure with this stoichiometry ... 0.0000 eV/atom

3.
Computed, not measured: a relaxed structure of AlPbSe2 at the GGA-PBE level of DFT.

Structure (CIF):
```
data_AlPbSe2
_space_group_name_H-M_alt 'R -3 m'
_space_group_IT_number 166
_space_group_name_Hall '-R 3 2"'
_cell_length_a 3.6591
_cell_length_b 3.6591
_cell_length_c 26.7320
_cell_angle_alpha 90.00
_cell_angle_beta 90.00
_cell_angle_gamma 120.00
loop_
_atom_site_label
_atom_site_type_symbol
_atom_site_fract_x
_atom_site_fract_y
_atom_site_fract_z
Al1 Al 0.0000 0.0000 0.0000
Pb1 Pb 0.0000 0.0000 0.5000
Se1 Se 0.0000 0.0000 0.3870
```

Computed properties:
Raw formation energy ... -0.58 eV per atom

4.
Computed, not measured: a relaxed structure of Cs2CdAgP at the GGA-PBE level of DFT.

Structure (CIF):
```
data_Cs2CdAgP
_space_group_name_H-M_alt 'P 4/m m m'
_space_group_IT_number 123
_space_group_name_Hall '-P 4 2'
_cell_length_a 7.154
_cell_length_b 7.154
_cell_length_c 4.760
_cell_angle_alpha 90.00
_cell_angle_beta 90.00
_cell_angle_gamma 90.00
loop_
_atom_site_label
_atom_site_type_symbol
_atom_site_fract_x
_atom_site_fract_y
_atom_site_fract_z
Cs1 Cs 0.000 0.500 0.000
Cd1 Cd 0.000 0.000 0.500
Ag1 Ag 0.500 0.500 0.500
P1 P 0.000 0.000 0.000
```

Computed properties:
Formation energy ... 28 meV per atom
Energy above the lowest structure with this stoichiometry ... 0.0509 eV/atom

5.
Computed, not measured: a relaxed structure of Ce2NdAg2Hg2 at the GGA-PBE level of DFT.

Structure (CIF):
```
data_Ce2NdAg2Hg2
_space_group_name_H-M_alt 'R -3 m'
_space_group_IT_number 166
_space_group_name_Hall '-R 3 2"'
_cell_length_a 4.9044
_cell_length_b 4.9044
_cell_length_c 24.7717
_cell_angle_alpha 90.00
_cell_angle_beta 90.00
_cell_angle_gamma 120.00
loop_
_atom_site_label
_atom_site_type_symbol
_atom_site_fract_x
_atom_site_fract_y
_atom_site_fract_z
Ce1 Ce 0.0000 0.0000 0.1408
Nd1 Nd 0.0000 0.0000 0.0000
Ag1 Ag 0.0000 0.0000 0.4204
Hg1 Hg 0.0000 0.0000 0.2700
```

Computed properties:
Formation energy ... -196 meV per atom

6.
Computed, not measured: a relaxed structure of Ac4Pm10Er at the GGA-PBE level of DFT.

Structure (CIF):
```
data_Ac4Pm10Er
_space_group_name_H-M_alt 'I 4/m m m'
_space_group_IT_number 139
_space_group_name_Hall '-I 4 2'
_cell_length_a 11.759
_cell_length_b 11.759
_cell_length_c 8.247
_cell_angle_alpha 90.00
_cell_angle_beta 90.00
_cell_angle_gamma 90.00
loop_
_atom_site_label
_atom_site_type_symbol
_atom_site_fract_x
_atom_site_fract_y
_atom_site_fract_z
Ac1 Ac 0.227 0.227 0.000
Pm1 Pm 0.000 0.207 0.293
Pm2 Pm 0.000 0.500 0.250
Er1 Er 0.000 0.000 0.000
```

Computed properties:
Formation energy ... 242 meV per atom

7.
Computed, not measured: a relaxed structure of TaPPtRhAuI at the GGA-PBE level of DFT.

Structure (CIF):
```
data_TaPPtRhAuI
_space_group_name_H-M_alt 'P 1 m 1'
_space_group_IT_number 6
_cell_length_a 3.676
_cell_length_b 4.518
_cell_length_c 8.139
_cell_angle_alpha 90.00
_cell_angle_beta 102.88
_cell_angle_gamma 90.00
loop_
_space_group_symop_operation_xyz
'x,y,z'
'x,-y,z'
loop_
_atom_site_label
_atom_site_type_symbol
_atom_site_fract_x
_atom_site_fract_y
_atom_site_fract_z
Ta1 Ta 0.000 0.000 0.000
P1 P 0.034 0.500 0.753
Pt1 Pt 0.618 0.500 0.946
Rh1 Rh 0.309 0.000 0.771
Au1 Au 0.221 0.500 0.210
I1 I 0.387 0.000 0.419
```

Computed properties:
Energy above the lowest structure with this stoichiometry ... 0.0000 eV/atom
Raw formation energy ... -0.18 eV per atom

8.
Computed, not measured: a relaxed structure of NiPd3Se4 at the GGA-PBE level of DFT.

Structure (CIF):
```
data_NiPd3Se4
_space_group_name_H-M_alt 'P m n 21'
_space_group_IT_number 31
_cell_length_a 7.500
_cell_length_b 6.542
_cell_length_c 6.513
_cell_angle_alpha 90.00
_cell_angle_beta 90.00
_cell_angle_gamma 90.00
loop_
_space_group_symop_operation_xyz
'x,y,z'
'-x+1/2,-y,z+1/2'
'-x,y,z'
'x+1/2,-y,z+1/2'
loop_
_atom_site_label
_atom_site_type_symbol
_atom_site_fract_x
_atom_site_fract_y
_atom_site_fract_z
Ni1 Ni 0.000 0.110 0.000
Pd1 Pd 0.000 0.853 0.630
Pd2 Pd 0.199 0.711 0.992
Se1 Se 0.000 0.231 0.665
Se2 Se 0.000 0.860 0.247
Se3 Se 0.211 0.344 0.133
```

Computed properties:
Raw formation energy ... -0.22 eV per atom

9.
Computed, not measured: a relaxed structure of ZrIr2Se at the GGA-PBE level of DFT.

Structure (CIF):
```
data_ZrIr2Se
_space_group_name_H-M_alt 'C 1 2/m 1'
_space_group_IT_number 12
_cell_length_a 5.511
_cell_length_b 9.593
_cell_length_c 3.029
_cell_angle_alpha 90.00
_cell_angle_beta 121.92
_cell_angle_gamma 90.00
loop_
_space_group_symop_operation_xyz
'x,y,z'
'-x,-y,-z'
'-x,y,-z'
'x,-y,z'
'x+1/2,y+1/2,z'
'-x+1/2,-y+1/2,-z'
'-x+1/2,y+1/2,-z'
'x+1/2,-y+1/2,z'
loop_
_atom_site_label
_atom_site_type_symbol
_atom_site_fract_x
_atom_site_fract_y
_atom_site_fract_z
Zr1 Zr 0.000 0.000 0.000
Ir1 Ir 0.250 0.250 0.500
Se1 Se 0.000 0.500 0.000
```

Computed properties:
Raw formation energy ... -0.18 eV per atom

10.
Computed, not measured: a relaxed structure of Sc2MoAu at the GGA-PBE level of DFT.

Structure (CIF):
```
data_Sc2MoAu
_space_group_name_H-M_alt 'F -4 3 m'
_space_group_IT_number 216
_space_group_name_Hall 'F -4 2 3'
_cell_length_a 6.696
_cell_length_b 6.696
_cell_length_c 6.696
_cell_angle_alpha 90.00
_cell_angle_beta 90.00
_cell_angle_gamma 90.00
loop_
_atom_site_label
_atom_site_type_symbol
_atom_site_fract_x
_atom_site_fract_y
_atom_site_fract_z
Sc1 Sc 0.000 0.000 0.000
Sc2 Sc 0.250 0.250 0.250
Mo1 Mo 0.250 0.250 0.750
Au1 Au 0.000 0.000 0.500
```

Computed properties:
Formation energy ... 78 meV per atom
Energy above the lowest structure with this stoichiometry ... 0.3239 eV/atom

11.
Computed, not measured: a relaxed structure of InAsRu3 at the GGA-PBE level of DFT.

Structure (CIF):
```
data_InAsRu3
_space_group_name_H-M_alt 'P m -3 m'
_space_group_IT_number 221
_space_group_name_Hall '-P 4 2 3'
_cell_length_a 4.884
_cell_length_b 4.884
_cell_length_c 4.884
_cell_angle_alpha 90.00
_cell_angle_beta 90.00
_cell_angle_gamma 90.00
loop_
_atom_site_label
_atom_site_type_symbol
_atom_site_fract_x
_atom_site_fract_y
_atom_site_fract_z
In1 In 0.000 0.000 0.000
As1 As 0.500 0.500 0.500
Ru1 Ru 0.000 0.000 0.500
```

Computed properties:
Formation energy ... 2080 meV per atom
Energy above the lowest structure with this stoichiometry ... 1.4474 eV/atom

12.
Computed, not measured: a relaxed structure of AlW2Au at the GGA-PBE level of DFT.

Structure (CIF):
```
data_AlW2Au
_space_group_name_H-M_alt 'I m m 2'
_space_group_IT_number 44
_cell_length_a 3.408
_cell_length_b 4.519
_cell_length_c 8.402
_cell_angle_alpha 90.00
_cell_angle_beta 90.00
_cell_angle_gamma 90.00
loop_
_space_group_symop_operation_xyz
'x,y,z'
'-x,-y,z'
'-x,y,z'
'x,-y,z'
'x+1/2,y+1/2,z+1/2'
'-x+1/2,-y+1/2,z+1/2'
'-x+1/2,y+1/2,z+1/2'
'x+1/2,-y+1/2,z+1/2'
loop_
_atom_site_label
_atom_site_type_symbol
_atom_site_fract_x
_atom_site_fract_y
_atom_site_fract_z
Al1 Al 0.000 0.000 0.000
W1 W 0.000 0.000 0.506
W2 W 0.000 0.500 0.244
Au1 Au 0.000 0.500 0.734
```

Computed properties:
Formation energy ... 185 meV per atom

13.
Computed, not measured: a relaxed structure of NiSe2Br at the GGA-PBE level of DFT.

Structure (CIF):
```
data_NiSe2Br
_space_group_name_H-M_alt 'P 63/m m c'
_space_group_IT_number 194
_space_group_name_Hall '-P 6c 2c'
_cell_length_a 3.7048
_cell_length_b 3.7048
_cell_length_c 15.2658
_cell_angle_alpha 90.00
_cell_angle_beta 90.00
_cell_angle_gamma 120.00
loop_
_atom_site_label
_atom_site_type_symbol
_atom_site_fract_x
_atom_site_fract_y
_atom_site_fract_z
Ni1 Ni 0.0000 0.0000 0.0000
Se1 Se 0.3333 0.6667 0.0765
Br1 Br 0.3333 0.6667 0.2500
```

Computed properties:
Energy above the lowest structure with this stoichiometry ... 0.0264 eV/atom
Raw formation energy ... -0.21 eV per atom

14.
Computed, not measured: a relaxed structure of Sr2Li2Ir at the GGA-PBE level of DFT.

Structure (CIF):
```
data_Sr2Li2Ir
_space_group_name_H-M_alt 'P 4/m b m'
_space_group_IT_number 127
_space_group_name_Hall '-P 4 2ab'
_cell_length_a 7.132
_cell_length_b 7.132
_cell_length_c 4.861
_cell_angle_alpha 90.00
_cell_angle_beta 90.00
_cell_angle_gamma 90.00
loop_
_atom_site_label
_atom_site_type_symbol
_atom_site_fract_x
_atom_site_fract_y
_atom_site_fract_z
Sr1 Sr 0.198 0.302 0.000
Li1 Li 0.138 0.638 0.500
Ir1 Ir 0.000 0.000 0.500
```

Computed properties:
Formation energy ... 130 meV per atom
Energy above the lowest structure with this stoichiometry ... 0.1677 eV/atom

15.
Computed, not measured: a relaxed structure of TlAgSn at the GGA-PBE level of DFT.

Structure (CIF):
```
data_TlAgSn
_space_group_name_H-M_alt 'P 63/m m c'
_space_group_IT_number 194
_space_group_name_Hall '-P 6c 2c'
_cell_length_a 5.3080
_cell_length_b 5.3080
_cell_length_c 6.2545
_cell_angle_alpha 90.00
_cell_angle_beta 90.00
_cell_angle_gamma 120.00
loop_
_atom_site_label
_atom_site_type_symbol
_atom_site_fract_x
_atom_site_fract_y
_atom_site_fract_z
Tl1 Tl 0.3333 0.6667 0.2500
Ag1 Ag 0.0000 0.0000 0.0000
Sn1 Sn 0.3333 0.6667 0.7500
```

Computed properties:
Formation energy ... 241 meV per atom
Energy above the lowest structure with this stoichiometry ... 0.2090 eV/atom

16.
Computed, not measured: a relaxed structure of AcSm4S5 at the GGA-PBE level of DFT.

Structure (CIF):
```
data_AcSm4S5
_space_group_name_H-M_alt 'I m m m'
_space_group_IT_number 71
_space_group_name_Hall '-I 2 2'
_cell_length_a 4.056
_cell_length_b 5.775
_cell_length_c 20.406
_cell_angle_alpha 90.00
_cell_angle_beta 90.00
_cell_angle_gamma 90.00
loop_
_atom_site_label
_atom_site_type_symbol
_atom_site_fract_x
_atom_site_fract_y
_atom_site_fract_z
Ac1 Ac 0.000 0.000 0.000
Sm1 Sm 0.000 0.000 0.203
Sm2 Sm 0.000 0.000 0.399
S1 S 0.000 0.500 0.000
S2 S 0.000 0.500 0.199
S3 S 0.000 0.500 0.393
```

Computed properties:
Raw formation energy ... -1.99 eV per atom

17.
Computed, not measured: a relaxed structure of La4YTm2 at the GGA-PBE level of DFT.

Structure (CIF):
```
data_La4YTm2
_space_group_name_H-M_alt 'I m m a'
_space_group_IT_number 74
_space_group_name_Hall '-I 2b 2'
_cell_length_a 6.964
_cell_length_b 11.575
_cell_length_c 12.102
_cell_angle_alpha 90.00
_cell_angle_beta 90.00
_cell_angle_gamma 90.00
loop_
_atom_site_label
_atom_site_type_symbol
_atom_site_fract_x
_atom_site_fract_y
_atom_site_fract_z
La1 La 0.000 0.000 0.154
La2 La 0.217 0.250 0.009
Y1 Y 0.250 0.250 0.750
Tm1 Tm 0.000 0.000 0.500
Tm2 Tm 0.000 0.250 0.286
```

Computed properties:
Formation energy ... 235 meV per atom
Energy above the lowest structure with this stoichiometry ... 0.1644 eV/atom

18.
Computed, not measured: a relaxed structure of CaErTl at the GGA-PBE level of DFT.

Structure (CIF):
```
data_CaErTl
_space_group_name_H-M_alt 'P -6 2 m'
_space_group_IT_number 189
_space_group_name_Hall 'P -6 -2'
_cell_length_a 8.3607
_cell_length_b 8.3607
_cell_length_c 4.6202
_cell_angle_alpha 90.00
_cell_angle_beta 90.00
_cell_angle_gamma 120.00
loop_
_atom_site_label
_atom_site_type_symbol
_atom_site_fract_x
_atom_site_fract_y
_atom_site_fract_z
Ca1 Ca 0.0000 0.5892 0.0000
Er1 Er 0.0000 0.2530 0.5000
Tl1 Tl 0.0000 0.0000 0.0000
Tl2 Tl 0.3333 0.6667 0.5000
```

Computed properties:
Formation energy ... -252 meV per atom
Energy above the lowest structure with this stoichiometry ... 0.0488 eV/atom

19.
Computed, not measured: a relaxed structure of Ho5Cu2Te at the GGA-PBE level of DFT.

Structure (CIF):
```
data_Ho5Cu2Te
_space_group_name_H-M_alt 'I 4/m c m'
_space_group_IT_number 140
_space_group_name_Hall '-I 4 2c'
_cell_length_a 7.928
_cell_length_b 7.928
_cell_length_c 12.680
_cell_angle_alpha 90.00
_cell_angle_beta 90.00
_cell_angle_gamma 90.00
loop_
_atom_site_label
_atom_site_type_symbol
_atom_site_fract_x
_atom_site_fract_y
_atom_site_fract_z
Ho1 Ho 0.000 0.000 0.000
Ho2 Ho 0.153 0.347 0.140
Cu1 Cu 0.134 0.366 0.500
Te1 Te 0.000 0.000 0.250
```

Computed properties:
Raw formation energy ... -0.46 eV per atom

20.
Computed, not measured: a relaxed structure of PaBPbO5 at the GGA-PBE level of DFT.

Structure (CIF):
```
data_PaBPbO5
_space_group_name_H-M_alt 'C 1 2/c 1'
_space_group_IT_number 15
_cell_length_a 6.936
_cell_length_b 9.109
_cell_length_c 7.915
_cell_angle_alpha 90.00
_cell_angle_beta 113.65
_cell_angle_gamma 90.00
loop_
_space_group_symop_operation_xyz
'x,y,z'
'-x,-y,-z'
'-x,y,-z+1/2'
'x,-y,z+1/2'
'x+1/2,y+1/2,z'
'-x+1/2,-y+1/2,-z'
'-x+1/2,y+1/2,-z+1/2'
'x+1/2,-y+1/2,z+1/2'
loop_
_atom_site_label
_atom_site_type_symbol
_atom_site_fract_x
_atom_site_fract_y
_atom_site_fract_z
Pa1 Pa 0.000 0.000 0.000
B1 B 0.000 0.314 0.250
Pb1 Pb 0.000 0.352 0.750
O1 O 0.000 0.083 0.750
O2 O 0.083 0.216 0.138
O3 O 0.172 0.413 0.379
```

Computed properties:
Raw formation energy ... -2.50 eV per atom